Record 1
## LaSmTl4 (GGA-PBE)

Data for a relaxed structure of LaSmTl4.

Computed properties:
Total DFT energy (no corrections) ... -3.355 eV/atom
Total magnetization ... 0.000 μB per atom
ΔE to the lowest computed polymorph ... 0.60 eV per formula unit

Lattice parameters (Å, degrees): 8.8882 8.8882 8.8882 90.00 90.00 90.00
Closest atoms and distances in Å follow each position.
Space group F-43m (No. 216)
Unique sites:
La  0.0000  0.0000  0.0000 (multiplicity 4)  12 Tl 3.69, 4 Sm 3.85
Sm  0.2500  0.2500  0.7500 (multiplicity 4)  12 Tl 3.68, 4 La 3.85
Tl  0.1249  0.1249  0.3751 (multiplicity 16)  6 Tl 3.14

***

Record 2
## Tm2Cu9Au (GGA-PBE)

Data for a relaxed structure of Tm2Cu9Au.

Computed properties:
Total DFT energy (no corrections) ... -4.215 eV/atom
Total magnetization ... 0.000 μB per atom

Lattice parameters (Å, degrees): 5.0690 5.0690 24.2430 90.00 90.00 120.00
Closest atoms and distances in Å follow each position.
Space group R-3m (No. 166, hexagonal axes)
Unique sites:
Tm  0.0000  0.0000  0.1343 (multiplicity 6)  9 Cu 2.83-3.03
Cu  0.0000  0.0000  0.3332 (multiplicity 6)  6 Cu 2.47-2.49
Cu  0.0000  0.0000  0.5000 (multiplicity 3)  6 Cu 2.52
Cu  0.0035  0.5018  0.9175 (multiplicity 18)  7 Cu 2.47-2.56
Au  0.0000  0.0000  0.0000 (multiplicity 3)  18 Cu 2.93-3.23, 2 Tm 3.25

***

Record 3
## UTiSb2 (GGA-PBE)

Data for a relaxed structure of UTiSb2.

Computed properties:
Total DFT energy (no corrections) ... -6.629 eV/atom
Total magnetization ... 0.654 μB per atom
E_form (uncorrected) ... 0.23 eV per atom
ΔE to the lowest computed polymorph ... 1.63 eV per formula unit

Lattice parameters (Å, degrees): 3.1682 3.1682 32.9294 90.00 90.00 120.00
Closest atoms and distances in Å follow each position.
Space group R-3m (No. 166, hexagonal axes)
Unique sites:
U  0.0000  0.0000  0.0000 (multiplicity 3)  6 U 3.17, 6 Sb 3.24
Ti  0.0000  0.0000  0.5000 (multiplicity 3)  2 Sb 2.81
Sb  0.0000  0.0000  0.4147 (multiplicity 6)  1 Ti 2.81

***

Record 4
## Zr2Ru (GGA-PBE)

Data for a relaxed structure of Zr2Ru.

Computed properties:
Total DFT energy (no corrections) ... -9.207 eV/atom
Total magnetization ... 0.000 μB per atom

Lattice parameters (Å, degrees): 3.3217 14.3988 4.8254 90.00 90.00 90.00
Closest atoms and distances in Å follow each position.
Space group Cmcm (No. 63)
Unique sites:
Zr  0.0000  0.0767  0.2500 (multiplicity 4)  6 Ru 2.79-2.93
Zr  0.0000  0.2350  0.7500 (multiplicity 4)  2 Ru 2.79, 4 Zr 2.96
Ru  0.0000  0.4210  0.2500 (multiplicity 4)  8 Zr 2.79-2.93